[1]
A plane-wave DFT calculation with PBE was carried out for crystalline Na3Ho2TmSe6 at its relaxed geometry.

abc: 7.1316 7.1316 7.3957
angles: 99.25 99.25 120.00
Element x y z (fractional)
Tm (0.0000, 0.0000, 0.0000)
Ho (0.3334, 0.6666, 0.0000)
Ho (0.6666, 0.3334, 0.0000)
Na (0.8328, 0.1672, 0.5000)
Na (0.5000, 0.5000, 0.5000)
Na (0.1672, 0.8328, 0.5000)
Se (0.5927, 0.9241, 0.7721)
Se (0.2553, 0.2553, 0.7722)
Se (0.0759, 0.4073, 0.2279)
Se (0.4073, 0.0759, 0.2279)
Se (0.7447, 0.7447, 0.2278)
Se (0.9241, 0.5927, 0.7721)

---

[2]
A plane-wave DFT calculation with PBE was carried out for crystalline Na4HoTm3Se8 at its relaxed geometry.

abc: 8.2049 8.4591 8.2047
angles: 119.02 120.00 90.00
Element x y z (fractional)
Se (0.7422, 0.7264, 0.4843)
Se (0.2434, 0.7273, 0.4867)
Se (0.2434, 0.7273, 0.9840)
Se (0.7566, 0.2727, 0.5133)
Se (0.7566, 0.2727, 0.0160)
Se (0.2578, 0.2736, 0.5157)
Se (0.2594, 0.2727, 0.0160)
Se (0.7406, 0.7273, 0.9840)
Na (0.0000, 0.0000, 0.0000)
Na (0.5000, 0.0000, 0.5000)
Na (0.5000, 0.0000, 0.0000)
Na (0.0000, 0.0000, 0.5000)
Tm (0.0000, 0.5000, 0.5000)
Tm (0.5000, 0.5000, 0.0000)
Tm (0.5000, 0.5000, 0.5000)
Ho (0.0000, 0.5000, 0.0000)

---

[3]
A plane-wave DFT calculation with PBE was carried out for crystalline NaHoTm4Se8 at its relaxed geometry.

abc: 8.3610 8.3610 8.3835
angles: 60.09 60.09 60.00
Element x y z (fractional)
Tm (0.4847, 0.0051, 0.5050)
Tm (0.6253, 0.6253, 0.1242)
Tm (0.0051, 0.4847, 0.5050)
Tm (0.0051, 0.0051, 0.5050)
Se (0.7569, 0.2263, 0.2599)
Se (0.2397, 0.2397, 0.2809)
Se (0.2413, 0.2413, 0.7378)
Se (0.2413, 0.7797, 0.7378)
Se (0.7797, 0.2413, 0.7378)
Se (0.7569, 0.7569, 0.2599)
Se (0.7582, 0.7582, 0.7253)
Se (0.2263, 0.7569, 0.2599)
Ho (0.0051, 0.0051, 0.9846)
Na (0.3743, 0.3743, 0.8771)

---

[4]
A plane-wave DFT calculation with PBE was carried out for crystalline NaHo4TmSe8 at its relaxed geometry.

abc: 8.4218 8.4218 8.4010
angles: 59.92 59.92 60.00
Element x y z (fractional)
Se (0.7594, 0.2248, 0.2563)
Se (0.7594, 0.7594, 0.2563)
Se (0.2402, 0.2402, 0.2793)
Se (0.7580, 0.7580, 0.7260)
Se (0.2248, 0.7594, 0.2563)
Se (0.7802, 0.2388, 0.7421)
Se (0.2388, 0.7802, 0.7421)
Se (0.2388, 0.2388, 0.7421)
Na (0.3755, 0.3755, 0.8734)
Ho (0.4849, 0.0050, 0.5051)
Ho (0.0050, 0.4849, 0.5051)
Ho (0.0050, 0.0050, 0.5051)
Ho (0.6247, 0.6247, 0.1260)
Tm (0.0051, 0.0051, 0.9847)

---

Number 1: formation energy from raw total energies -1.70 eV per atom, density 5.607 Mg/m³. Number 2: formation energy from raw total energies -1.70 eV per atom, density 5.672 Mg/m³. Number 3: formation energy from raw total energies -1.76 eV per atom, density 5.984 Mg/m³. Number 4: formation energy from raw total energies -1.76 eV per atom, density 5.853 Mg/m³.